A geometry-optimized NbCd2Pb structure. Source: OQMD via LeMat-Bulk, functional PBE-GGA.

Structure (extended XYZ):
```
4
Lattice="0.000 3.549 3.549 3.549 0.000 3.549 3.549 3.549 0.000" Properties=species:S:1:pos:R:3 pbc="T T T"
Pb 3.549 3.549 3.549
Cd 0.000 0.000 0.000
Cd 5.324 5.324 5.324
Nb 1.775 1.775 1.775
```

Results
Space group: F-43m, No. 216
E_tot in eV for the cell shown: -13.469

***

A geometry-optimized FeBMoPt structure. Source: OQMD via LeMat-Bulk, functional PBE-GGA.

Structure (extended XYZ):
```
4
Lattice="4.069 -0.242 -0.895 2.323 -3.048 1.653 1.424 -3.086 -2.422" Properties=species:S:1:pos:R:3 pbc="T T T"
Mo 3.908 -3.188 -0.832
Pt 1.954 -1.594 -0.416
B 0.000 0.000 0.000
Fe 5.862 -4.782 -1.248
```

Results
Space group: F-43m, No. 216
E above lowest polymorph in meV/atom: 157.7
E_tot in eV for the cell shown: -29.509

***

A geometry-optimized Re7W8 structure. Source: OQMD via LeMat-Bulk, functional PBE-GGA.

Structure (extended XYZ):
```
30
Lattice="9.652 0.000 0.000 0.000 9.652 0.000 0.000 0.000 5.080" Properties=species:S:1:pos:R:3 pbc="T T T"
W 3.038 6.614 1.265
W 0.606 7.116 0.000
W 3.038 6.614 3.815
W 1.788 1.788 1.275
W 7.864 7.864 3.806
W 6.614 3.038 3.815
W 1.788 1.788 3.806
W 4.219 2.290 2.540
W 2.536 9.045 0.000
W 6.614 3.038 1.265
W 7.864 7.864 1.275
W 7.116 0.606 0.000
W 7.361 5.432 2.540
W 2.290 4.219 2.540
W 5.432 7.361 2.540
W 9.045 2.536 0.000
Re 4.826 4.826 2.540
Re 0.958 8.694 2.540
Re 6.154 0.350 2.540
Re 8.324 5.176 0.000
Re 9.302 3.498 2.540
Re 5.783 5.783 0.000
Re 0.350 6.154 2.540
Re 3.868 3.868 0.000
Re 0.000 0.000 0.000
Re 3.498 9.302 2.540
Re 8.694 0.958 2.540
Re 5.176 8.324 0.000
Re 4.476 1.328 0.000
Re 1.328 4.476 0.000
```

Results
Space group: P4_2/mnm, No. 136
E above lowest polymorph in meV/atom: 101.1
E_tot in eV for the cell shown: -376.664
Energy of formation from the pure elements in eV/atom: 0.1539

***

A geometry-optimized AgPtSI structure. Source: OQMD via LeMat-Bulk, functional PBE-GGA.

Structure (extended XYZ):
```
16
Lattice="-3.129 -3.711 4.737 6.764 -3.169 1.986 1.148 5.745 5.258" Properties=species:S:1:pos:R:3 pbc="T T T"
I 2.091 2.640 7.082
I 4.377 -1.423 7.854
I 4.564 -0.375 3.944
I -1.467 -3.111 5.081
Pt 2.183 0.250 8.382
Pt 6.328 -2.557 4.066
Pt -0.038 2.992 5.285
Pt 1.092 -2.954 6.229
S 0.787 -0.789 6.909
S 6.066 1.826 8.141
S 1.921 -4.756 5.102
S 0.792 1.450 3.810
Ag 4.787 2.691 6.156
Ag -1.406 -0.027 7.874
Ag 1.813 -0.701 4.618
Ag 4.371 -4.231 5.314
```

Results
Space group: P2_12_12_1, No. 19
E_tot in eV for the cell shown: -58.285

***

A geometry-optimized TaCoBiPd structure. Source: OQMD via LeMat-Bulk, functional PBE-GGA.

Structure (extended XYZ):
```
4
Lattice="0.000 3.258 3.258 3.258 0.000 3.258 3.258 3.258 0.000" Properties=species:S:1:pos:R:3 pbc="T T T"
Bi 0.000 0.000 0.000
Co 4.887 4.887 4.887
Ta 1.629 1.629 1.629
Pd 3.258 3.258 3.258
```

Results
Space group: F-43m, No. 216
E above lowest polymorph in meV/atom: 90.1
E_tot in eV for the cell shown: -26.771

***

A geometry-optimized HfTlTe2PdSe structure. Source: OQMD via LeMat-Bulk, functional PBE-GGA.

Structure (extended XYZ):
```
12
Lattice="-4.971 -2.713 -6.376 0.179 -3.690 1.430 -5.699 2.947 8.316" Properties=species:S:1:pos:R:3 pbc="T T T"
Se -4.386 0.056 3.438
Se -6.105 -3.512 -0.067
Hf -4.466 -4.174 -1.979
Hf -6.026 0.718 5.349
Te -7.619 -1.705 4.786
Te -2.872 -1.751 -1.416
Te -5.068 -0.406 7.815
Te -5.423 -3.049 -4.445
Tl -7.414 -0.860 1.451
Tl -3.078 -2.595 1.919
Pd -6.743 -2.242 -2.197
Pd -3.748 -1.214 5.567
```

Results
Space group: P2_1/m, No. 11
E above lowest polymorph in meV/atom: 79.7
E_tot in eV for the cell shown: -62.165

***

In the order shown, the computed volume values come out to 22.36; 12.85; 15.78; 25.79; 17.29; 27.53 Å³ per atom.
In the order shown, the computed magnetic moment values come out to 0.52; 0.53; 0.00; 0.00; 0.20; 0.00 μB per atom.